Entry 1:
! Ce3TiSb5 (meta-GGA SCAN, PBEsol geometry); values from VASP
! - SG: P6_3/mcm
! - Formation energy (no corrections): -1.00 eV per atom
! - DOS(E_F): 22.4 states/eV per cell
&SYSTEM
  ibrav = 0, nat = 18, ntyp = 3
/
ATOMIC_SPECIES
Ce 140.12 Ce.upf
Sb 121.76 Sb.upf
Ti 47.87 Ti.upf
CELL_PARAMETERS angstrom
-6.0893 -0.0056 0.7624
0.6643 -7.4955 5.2505
0.4701 8.3310 3.8162
ATOMIC_POSITIONS angstrom
Ce -4.1582 -4.6163 3.8026
Ce -0.8243 0.5127 5.7696
Ce -4.2777 5.1220 2.9200
Ce -1.3415 3.2034 1.6586
Ce -1.2668 -2.8848 2.2104
Ce -4.1306 0.3172 4.0596
Sb 0.5996 -2.2200 4.7724
Sb 0.5349 3.0556 4.2943
Sb -1.1739 6.1733 3.0191
Sb -3.7262 0.6151 7.2919
Sb -2.4451 -2.2228 5.1536
Sb -2.5098 3.0527 4.6755
Sb -4.4453 2.1521 1.5596
Sb -4.3951 -1.9442 1.9308
Sb -1.2287 0.2149 2.5373
Sb -1.0299 -5.5568 4.0821
Ti 0.0000 0.0000 0.0000
Ti -3.0447 -0.0028 0.3812

***

Entry 2:
! BaHg4 (meta-GGA SCAN, PBEsol geometry); values from VASP
! - E_form: -444 meV per atom
! - Energy above the most stable polymorph in this dataset: 0.030 eV/atom
! - SG: I4/mmm
! - DOS(E_F): 2.8 states/eV per cell
&SYSTEM
  ibrav = 0, nat = 5, ntyp = 2
/
ATOMIC_SPECIES
Hg 200.59 Hg.upf
Ba 137.33 Ba.upf
CELL_PARAMETERS angstrom
-3.0401 -1.1559 3.4270
-1.1606 -3.9283 -2.3546
6.6308 -0.5750 2.4313
ATOMIC_POSITIONS angstrom
Hg -1.0756 -3.2472 1.2074
Hg 0.7452 -2.1365 3.1973
Hg 1.6849 -3.5227 0.3065
Hg 3.5057 -2.4121 2.2963
Ba 0.0000 0.0000 0.0000

***

Calculated volume, 24.86 27.90 A^3/atom (same order as the records).